Compound: KZr2Ag
Source: the Alexandria database
Functional: meta-GGA SCAN
Structure: PBEsol geometry

Cell: 2.945 5.357 6.650 Å, 113.25 101.93 92.09°
Atoms (fractional coordinates):
Ag (0.500, 0.000, 0.000)
K (0.000, 0.500, 0.000)
Zr (0.000, 0.000, 0.500)
Zr (0.500, 0.500, 0.500)

Calculated values
- ΔH_f (0 K) (meV/atom) = 612
- M_tot (μB/cell) = 0.000
- calculated total energy (eV/atom) = -24.661
- crystal system = monoclinic